1.
{
  "formula": "BaTlCu2",
  "functional": "PBE",
  "state": "relaxed",
  "formation_enthalpy_0k_kcal_per_mol_atoms": 6.17,
  "lattice": [[5.7775, 0.0724, 0.0000], [1.9216, 5.4491, 0.0000], [-3.8495, -2.7607, 3.3082]],
  "species": ["Tl", "Cu", "Cu", "Ba"],
  "fractional_positions": [[0.5000, 0.5000, 0.0000], [0.2500, 0.7500, 0.5000], [0.0000, 0.0000, 0.0000], [0.7500, 0.2500, 0.5000]]
}



2.
{
  "formula": "Nd4Te3Br",
  "functional": "PBE",
  "state": "relaxed",
  "energy_ev_per_atom": -5.0871,
  "lattice": [[-2.1166, 3.9546, 0.4799], [-2.1483, 1.8488, -3.5094], [-13.2271, -4.8287, 2.6540]],
  "species": ["Te", "Te", "Nd", "Nd", "Br", "Nd", "Te", "Nd"],
  "fractional_positions": [[0.2530, 0.2530, 0.2409], [0.5000, 0.5000, 0.5000], [0.1246, 0.1246, 0.6263], [0.8754, 0.8754, 0.3737], [0.0000, 0.0000, 0.0000], [0.6291, 0.6291, 0.1127], [0.7470, 0.7470, 0.7591], [0.3709, 0.3709, 0.8873]]
}



3.
{
  "formula": "NbV4Re5",
  "functional": "PBE",
  "state": "relaxed",
  "formation_enthalpy_0k_kcal_per_mol_atoms": -7.17,
  "lattice": [[3.0750, 0.0000, 0.0000], [0.0000, 3.0750, 0.0000], [0.0000, 0.0000, 15.3986]],
  "species": ["Re", "Re", "V", "V", "V", "Re", "Re", "Nb", "V", "Re"],
  "fractional_positions": [[0.5000, 0.5000, 0.1088], [0.5000, 0.5000, 0.3042], [0.0000, 0.0000, 0.2059], [0.0000, 0.0000, 0.7941], [0.0000, 0.0000, 0.4020], [0.5000, 0.5000, 0.8912], [0.5000, 0.5000, 0.5000], [0.0000, 0.0000, 0.0000], [0.0000, 0.0000, 0.5980], [0.5000, 0.5000, 0.6958]]
}



4.
{
  "formula": "NdDy2Tm",
  "functional": "PBE",
  "state": "relaxed",
  "relative_energy_kj_per_mol_atoms": 0.00,
  "formation_enthalpy_0k_kcal_per_mol_atoms": 0.45,
  "lattice": [[-0.1797, 3.4133, -1.0708], [-2.9288, 1.1988, -1.6777], [-5.6510, 4.4818, 9.2440]],
  "species": ["Nd", "Tm", "Dy", "Dy"],
  "fractional_positions": [[0.5004, 0.5004, 0.4988], [0.6664, 0.6664, 0.0007], [0.0813, 0.0813, 0.7562], [0.2519, 0.2519, 0.2443]]
}



no.,magnetic moment (μB/f.u.)
1,0.0
2,0.0
3,0.0
4,0.0